Density functional theory data (PBE+U) for Li3Nb2Fe3O10 after structural relaxation.

Computed properties:
final energy	-7.066	eV per atom
crystal system	triclinic

Cell lengths 5.221, 5.348, 7.989 Å; angles 100.37, 107.97, 101.70 degrees
Space group P1 (No. 1)
Symmetry-distinct sites (fractional):
Li 0.000 0.000 0.000 (multiplicity 1)
Li 0.202 0.696 0.194 (multiplicity 1)
Li 0.658 0.769 0.542 (multiplicity 1)
Nb 0.068 0.430 0.472 (multiplicity 1)
Nb 0.582 0.295 0.092 (multiplicity 1)
Fe 0.233 0.038 0.660 (multiplicity 1)
Fe 0.439 0.696 0.885 (multiplicity 1)
Fe 0.834 0.377 0.784 (multiplicity 1)
O 0.016 0.674 0.703 (multiplicity 1)
O 0.227 0.346 0.942 (multiplicity 1)
O 0.254 0.771 0.454 (multiplicity 1)
O 0.392 0.950 0.092 (multiplicity 1)
O 0.436 0.416 0.641 (multiplicity 1)
O 0.641 0.075 0.853 (multiplicity 1)
O 0.670 0.505 0.330 (multiplicity 1)
O 0.808 0.589 0.001 (multiplicity 1)
O 0.872 0.159 0.576 (multiplicity 1)
O 0.983 0.234 0.228 (multiplicity 1)